# Fe3Ni2Pd2, optimized geometry, DFT PBE
data_Fe3Ni2Pd2
_cell_length_a 3.817
_cell_length_b 18.100
_cell_length_c 2.612
_cell_angle_alpha 90.00
_cell_angle_beta 90.00
_cell_angle_gamma 90.00
_symmetry_space_group_name_H-M 'C m m m'
_symmetry_Int_Tables_number 65
_symmetry_space_group_name_Hall '-C 2 2'
loop_
_atom_site_label
_atom_site_type_symbol
_atom_site_fract_x
_atom_site_fract_y
_atom_site_fract_z
Fe1 Fe 0.000 0.000 0.000
Fe2 Fe 0.000 0.159 0.000
Ni1 Ni 0.000 0.286 0.500
Pd1 Pd 0.000 0.425 0.500
# Energy of formation from the pure elements = 0.014 eV per atom
# Crystal system = orthorhombic